Arrangement a

Computed, not measured: a relaxed structure of Er4ZnIr at the PBE level of DFT.

Cell and atoms, written as POSCAR:
```
Er4ZnIr
1.0
0.000 6.652 6.652
6.652 0.000 6.652
6.652 6.652 0.000
Er Zn Ir
16 4 4
Direct
0.058 0.058 0.442
0.058 0.442 0.058
0.058 0.442 0.442
0.187 0.187 0.813
0.187 0.813 0.187
0.187 0.813 0.813
0.188 0.604 0.604
0.442 0.058 0.058
0.442 0.058 0.442
0.442 0.442 0.058
0.604 0.188 0.604
0.604 0.604 0.188
0.604 0.604 0.604
0.813 0.187 0.187
0.813 0.187 0.813
0.813 0.813 0.187
0.514 0.829 0.829
0.829 0.514 0.829
0.829 0.829 0.514
0.829 0.829 0.829
0.393 0.393 0.393
0.393 0.393 0.821
0.393 0.821 0.393
0.821 0.393 0.393
```

Calculated values
Crystal system: cubic
Space-group type: F-43m
Density, Mg/m³: 10.45

Arrangement b

Computed, not measured: a relaxed structure of Er4ZnIr at the PBE level of DFT.

Cell and atoms, written as POSCAR:
```
Er4ZnIr
1.0
4.831 0.000 0.000
0.000 4.831 0.000
0.000 0.000 6.861
Er Zn Ir
4 1 1
Direct
0.000 0.500 0.238
0.000 0.500 0.762
0.500 0.000 0.238
0.500 0.000 0.762
0.000 0.000 0.500
0.500 0.500 0.000
```

Calculated values
Crystal system: tetragonal
Space-group type: P4/mmm
Density, Mg/m³: 9.61

Least stable structure: arrangement b

Arrangement a

Computed, not measured: a relaxed structure of KErTl2 at the PBE level of DFT.

Cell and atoms, written as POSCAR:
```
KErTl2
1.0
1.858 1.073 10.864
-1.858 1.073 10.864
0.000 -2.146 10.864
K Er Tl
1 1 2
Direct
0.000 0.000 0.000
0.500 0.500 0.500
0.243 0.243 0.243
0.757 0.757 0.757
```

Calculated values
Crystal system: trigonal
Space-group type: R-3m
Density, Mg/m³: 7.86

Arrangement b

Computed, not measured: a relaxed structure of KErTl2 at the PBE level of DFT.

Cell and atoms, written as POSCAR:
```
KErTl2
1.0
3.839 0.000 0.000
0.000 3.839 0.000
0.000 0.000 8.636
K Er Tl
1 1 2
Direct
0.000 0.000 0.000
0.000 0.000 0.500
0.500 0.500 0.293
0.500 0.500 0.707
```

Calculated values
Crystal system: tetragonal
Space-group type: P4/mmm
Density, Mg/m³: 8.02

Least stable structure: arrangement a

Arrangement a

Computed, not measured: a relaxed structure of La4Er at the PBE level of DFT.

Cell and atoms, written as POSCAR:
```
La4Er
1.0
5.941 0.000 0.000
0.000 5.941 0.000
0.000 0.000 5.941
La Er
4 1
Direct
0.000 0.000 0.000
0.000 0.500 0.500
0.500 0.000 0.500
0.500 0.500 0.000
0.500 0.500 0.500
```

Calculated values
Crystal system: cubic
Space-group type: Pm-3m
Density, Mg/m³: 5.73

Arrangement b

Computed, not measured: a relaxed structure of La4Er at the PBE level of DFT.

Cell and atoms, written as POSCAR:
```
La4Er
1.0
-1.855 1.855 12.884
1.855 -1.855 12.884
1.855 1.855 -12.884
La Er
4 1
Direct
0.097 0.097 0.000
0.302 0.302 0.000
0.698 0.698 0.000
0.903 0.903 0.000
0.500 0.500 0.000
```

Calculated values
Crystal system: tetragonal
Space-group type: I4/mmm
Density, Mg/m³: 6.77

Least stable structure: arrangement a

Arrangement a

Computed, not measured: a relaxed structure of La6Er5 at the PBE level of DFT.

Cell and atoms, written as POSCAR:
```
La6Er5
1.0
5.035 -8.072 0.000
5.035 8.072 0.000
-3.189 0.000 4.689
La Er
6 5
Direct
0.069 0.350 0.709
0.208 0.208 0.208
0.350 0.069 0.709
0.650 0.931 0.291
0.792 0.792 0.792
0.931 0.650 0.291
0.201 0.799 0.000
0.339 0.661 0.500
0.500 0.500 0.000
0.661 0.339 0.500
0.799 0.201 0.000
```

Calculated values
Crystal system: monoclinic
Space-group type: C2/m
Density, Mg/m³: 7.28

Arrangement b

Computed, not measured: a relaxed structure of La6Er5 at the PBE level of DFT.

Cell and atoms, written as POSCAR:
```
La6Er5
1.0
5.337 -7.064 0.000
5.337 7.064 0.000
-3.017 0.000 5.033
La Er
6 5
Direct
0.047 0.339 0.672
0.174 0.174 0.134
0.339 0.047 0.672
0.661 0.953 0.328
0.826 0.826 0.866
0.953 0.661 0.328
0.224 0.776 0.000
0.364 0.636 0.500
0.500 0.500 0.000
0.636 0.364 0.500
0.776 0.224 0.000
```

Calculated values
Crystal system: monoclinic
Space-group type: C2/m
Density, Mg/m³: 7.31

Least stable structure: arrangement b

Arrangement a

Computed, not measured: a relaxed structure of La3Er8 at the PBE level of DFT.

Cell and atoms, written as POSCAR:
```
La3Er8
1.0
5.640 -2.529 0.000
5.640 2.529 0.000
-3.452 0.000 12.487
La Er
3 8
Direct
0.000 0.000 0.000
0.093 0.093 0.638
0.907 0.907 0.362
0.180 0.180 0.273
0.273 0.273 0.909
0.363 0.363 0.545
0.454 0.454 0.181
0.546 0.546 0.819
0.637 0.637 0.455
0.727 0.727 0.091
0.820 0.820 0.727
```

Calculated values
Crystal system: monoclinic
Space-group type: C2/m
Density, Mg/m³: 8.18

Arrangement b

Computed, not measured: a relaxed structure of La3Er8 at the PBE level of DFT.

Cell and atoms, written as POSCAR:
```
La3Er8
1.0
5.135 2.965 4.063
-5.135 2.965 4.063
0.000 -5.929 4.063
La Er
3 8
Direct
0.000 0.500 0.500
0.500 0.000 0.500
0.500 0.500 0.000
0.082 0.891 0.695
0.109 0.305 0.918
0.305 0.918 0.109
0.350 0.350 0.350
0.650 0.650 0.650
0.695 0.082 0.891
0.891 0.695 0.082
0.918 0.109 0.305
```

Calculated values
Crystal system: trigonal
Space-group type: R-3
Density, Mg/m³: 7.85

Least stable structure: arrangement b

Arrangement a

Computed, not measured: a relaxed structure of La3Er13 at the PBE level of DFT.

Cell and atoms, written as POSCAR:
```
La3Er13
1.0
10.053 0.000 0.000
0.000 5.004 5.040
0.000 -5.004 5.040
La Er
3 13
Direct
0.000 0.000 0.000
0.250 0.255 0.255
0.750 0.255 0.255
0.000 0.001 0.505
0.000 0.505 0.001
0.000 0.507 0.507
0.252 0.254 0.753
0.252 0.753 0.254
0.253 0.752 0.752
0.500 0.001 0.001
0.500 0.001 0.507
0.500 0.507 0.001
0.500 0.507 0.507
0.747 0.752 0.752
0.748 0.254 0.753
0.748 0.753 0.254
```

Calculated values
Crystal system: orthorhombic
Space-group type: Amm2
Density, Mg/m³: 8.49

Arrangement b

Computed, not measured: a relaxed structure of La3Er13 at the PBE level of DFT.

Cell and atoms, written as POSCAR:
```
La3Er13
1.0
7.255 0.000 0.000
0.000 5.660 6.267
0.000 -5.660 6.267
La Er
3 13
Direct
0.000 0.000 0.000
0.254 0.746 0.746
0.746 0.746 0.746
0.000 0.414 0.918
0.000 0.495 0.495
0.000 0.918 0.414
0.250 0.251 0.251
0.251 0.170 0.661
0.251 0.661 0.170
0.500 0.001 0.001
0.500 0.409 0.922
0.500 0.495 0.495
0.500 0.922 0.409
0.749 0.170 0.661
0.749 0.661 0.170
0.750 0.251 0.251
```

Calculated values
Crystal system: orthorhombic
Space-group type: Amm2
Density, Mg/m³: 8.36

Least stable structure: arrangement a

Arrangement a

Computed, not measured: a relaxed structure of LiLaEr at the PBE level of DFT.

Cell and atoms, written as POSCAR:
```
LiLaEr
1.0
-1.882 1.882 6.175
1.882 -1.882 6.175
1.882 1.882 -6.175
Li La Er
1 1 1
Direct
0.000 0.000 0.000
0.336 0.336 0.000
0.640 0.640 0.000
```

Calculated values
Crystal system: tetragonal
Space-group type: I4mm
Density, Mg/m³: 5.95

Arrangement b

Computed, not measured: a relaxed structure of LiLaEr at the PBE level of DFT.

Cell and atoms, written as POSCAR:
```
LiLaEr
1.0
3.535 0.000 0.000
-1.768 3.062 0.000
0.000 0.000 8.452
Li La Er
1 1 1
Direct
0.000 0.000 0.000
0.333 0.667 0.660
0.667 0.333 0.317
```

Calculated values
Crystal system: trigonal
Space-group type: P3m1
Density, Mg/m³: 5.68

Arrangement c

Computed, not measured: a relaxed structure of LiLaEr at the PBE level of DFT.

Cell and atoms, written as POSCAR:
```
LiLaEr
1.0
8.698 5.022 1.964
-8.698 5.022 1.964
0.000 -10.044 1.964
Li La Er
6 6 6
Direct
0.186 0.680 0.247
0.247 0.186 0.680
0.320 0.753 0.814
0.680 0.247 0.186
0.753 0.814 0.320
0.814 0.320 0.753
0.047 0.776 0.553
0.224 0.447 0.953
0.447 0.953 0.224
0.553 0.047 0.776
0.776 0.553 0.047
0.953 0.224 0.447
0.135 0.371 0.263
0.263 0.135 0.371
0.371 0.263 0.135
0.629 0.737 0.865
0.737 0.865 0.629
0.865 0.629 0.737
```

Calculated values
Crystal system: trigonal
Space-group type: R-3
Density, Mg/m³: 6.06

Arrangement d

Computed, not measured: a relaxed structure of LiLaEr at the PBE level of DFT.

Cell and atoms, written as POSCAR:
```
LiLaEr
1.0
3.046 -1.802 0.000
3.046 1.802 0.000
-0.464 0.000 16.189
Li La Er
2 2 2
Direct
0.168 0.168 0.064
0.832 0.832 0.936
0.174 0.174 0.403
0.826 0.826 0.597
0.493 0.493 0.776
0.507 0.507 0.224
```

Calculated values
Crystal system: monoclinic
Space-group type: C2/m
Density, Mg/m³: 5.85

Least stable structure: arrangement c

Arrangement a

Computed, not measured: a relaxed structure of LiLaEr2 at the PBE level of DFT.

Cell and atoms, written as POSCAR:
```
LiLaEr2
1.0
1.755 1.013 11.369
-1.755 1.013 11.369
0.000 -2.027 11.369
Li La Er
1 1 2
Direct
0.000 0.000 0.000
0.834 0.834 0.834
0.412 0.412 0.412
0.589 0.589 0.589
```

Calculated values
Crystal system: trigonal
Space-group type: R3m
Density, Mg/m³: 6.57

Arrangement b

Computed, not measured: a relaxed structure of LiLaEr2 at the PBE level of DFT.

Cell and atoms, written as POSCAR:
```
LiLaEr2
1.0
5.668 0.000 0.000
0.000 5.668 0.000
0.000 0.000 3.721
Li La Er
1 1 2
Direct
0.000 0.000 0.000
0.500 0.500 0.000
0.000 0.500 0.500
0.500 0.000 0.500
```

Calculated values
Crystal system: tetragonal
Space-group type: P4/mmm
Density, Mg/m³: 6.67

Arrangement c

Computed, not measured: a relaxed structure of LiLaEr2 at the PBE level of DFT.

Cell and atoms, written as POSCAR:
```
LiLaEr2
1.0
1.743 1.006 12.133
-1.743 1.006 12.133
0.000 -2.013 12.133
Li La Er
1 1 2
Direct
0.000 0.000 0.000
0.500 0.500 0.500
0.088 0.088 0.088
0.912 0.912 0.912
```

Calculated values
Crystal system: trigonal
Space-group type: R-3m
Density, Mg/m³: 6.25

Least stable structure: arrangement c